{
  "formula": "TiTeN",
  "functional": "PBE",
  "state": "optimized geometry",
  "lattice": [[3.1865, 0.0000, 0.0000], [0.0000, 4.0097, 0.0000], [0.0000, 0.0000, 10.2006]],
  "species": ["Ti", "Ti", "Te", "Te", "N", "N"],
  "fractional_positions": [[0.2500, 0.2500, 0.0707], [0.7500, 0.7500, 0.9293], [0.2500, 0.7500, 0.6906], [0.7500, 0.2500, 0.3094], [0.2500, 0.7500, 0.0430], [0.7500, 0.2500, 0.9570]],
  "e_tot_ev_per_atom": -7.427,
  "raw_formation_energy_kj_per_mol_atoms": -94,
  "relative_energy_ev_per_atom": 0.000
}